## LiAcNiO3 (PBE with a Hubbard U)

Data for LiAcNiO3 after structural relaxation.

Summary:
- Electronic total energy: -5.9154 eV/atom

Cell: 5.108 11.268 5.329 Å, 90.00 90.00 90.00°
Space group Cmcm (No. 63)
Asymmetric unit:
Li: 0.000 0.072 0.250 x4
Ac: 0.000 0.184 0.750 x4
Ni: 0.000 0.494 0.750 x4
O: 0.000 0.240 0.250 x4
O: 0.245 0.000 0.000 x8